<P>
Entry from Alexandria via LeMat-Bulk: crystalline MnAg2Au2 at its relaxed geometry (PBE).

a = 3.7469 Å, b = 3.7469 Å, c = 7.5180 Å
α = 104.43°, β = 104.43°, γ = 90.00°
Closest atoms and distances in Å follow each position.
Atoms (fractional coordinates):
Au 0.5950 0.5950 0.1901  1 Au 2.67, 4 Ag 2.87, 4 Mn 2.97
Au 0.4050 0.4050 0.8099  1 Au 2.67, 4 Ag 2.87, 4 Mn 2.97
Ag 0.7500 0.2500 0.5000  4 Ag 2.65, 4 Au 2.87
Ag 0.2500 0.7500 0.5000  4 Ag 2.65, 4 Au 2.87
Mn 0.0000 0.0000 0.0000  8 Au 2.97

Properties
Density, g cm⁻³: 11.173
Space-group type: I4/mmm

<Q>
Entry from Alexandria via LeMat-Bulk: crystalline MnAg2Au2 at its relaxed geometry (PBE).

a = 6.9244 Å, b = 6.9244 Å, c = 3.9798 Å
α = 90.00°, β = 90.00°, γ = 90.00°
Closest atoms and distances in Å follow each position.
Atoms (fractional coordinates):
Ag 0.8387 0.3387 0.5000  6 Au 2.77-2.89
Ag 0.3387 0.1613 0.5000  6 Au 2.77-2.89
Ag 0.6613 0.8387 0.5000  6 Au 2.77-2.89
Ag 0.1613 0.6613 0.5000  6 Au 2.77-2.89
Mn 0.0000 0.0000 0.0000  4 Au 2.67
Mn 0.5000 0.5000 0.0000  4 Au 2.67
Au 0.8588 0.6412 0.0000  2 Mn 2.67, 1 Au 2.77, 6 Ag 2.77-2.89
Au 0.1412 0.3588 0.0000  2 Mn 2.67, 1 Au 2.77, 6 Ag 2.77-2.89
Au 0.6412 0.1412 0.0000  2 Mn 2.67, 1 Au 2.77, 6 Ag 2.77-2.89
Au 0.3588 0.8588 0.0000  2 Mn 2.67, 1 Au 2.77, 6 Ag 2.77-2.89

Properties
Density, g cm⁻³: 11.567
Space-group type: P4/mbm

Of them, <P> has the lowest stability.

<P>
Entry from Alexandria via LeMat-Bulk: crystalline Mn2AgAu8 at its relaxed geometry (PBE).

a = 2.9015 Å, b = 7.3739 Å, c = 9.5824 Å
α = 112.82°, β = 98.71°, γ = 90.00°
Closest atoms and distances in Å follow each position.
Atoms (fractional coordinates):
Mn 0.2327 0.5745 0.4653  2 Mn 2.08
Mn 0.7673 0.4255 0.5347  2 Mn 2.08
Au 0.6893 0.8454 0.3787  2 Mn 2.84, 10 Au 2.89-3.00
Au 0.1510 0.1456 0.3019  3 Mn 2.77-2.93, 8 Au 2.90-3.02, 2 Ag 3.00
Au 0.5995 0.4261 0.1991  2 Mn 2.74, 7 Au 2.89-2.99, 1 Ag 2.96
Au 0.9550 0.2848 0.9100  10 Au 2.90-3.07, 2 Ag 2.94
Au 0.0450 0.7152 0.0900  10 Au 2.90-3.07, 2 Ag 2.94
Au 0.3107 0.1546 0.6213  2 Mn 2.84, 10 Au 2.89-3.00
Au 0.4005 0.5739 0.8009  2 Mn 2.74, 7 Au 2.89-2.99, 1 Ag 2.96
Au 0.8490 0.8544 0.6981  3 Mn 2.77-2.93, 8 Au 2.90-3.02, 2 Ag 3.00
Ag 0.5000 0.0000 0.0000  2 Ag 2.90, 10 Au 2.94-3.00

Properties
Density, g cm⁻³: 15.976
Space-group type: C2/m

<Q>
Entry from Alexandria via LeMat-Bulk: crystalline Mn2AgAu8 at its relaxed geometry (PBE).

a = 4.1691 Å, b = 6.6547 Å, c = 7.6067 Å
α = 107.44°, β = 105.90°, γ = 90.00°
Closest atoms and distances in Å follow each position.
Atoms (fractional coordinates):
Mn 0.2239 0.6473 0.4477  10 Au 2.78-2.92, 2 Mn 3.12
Mn 0.7761 0.3527 0.5523  10 Au 2.78-2.92, 2 Mn 3.12
Au 0.0449 0.7282 0.0897  1 Mn 2.83, 9 Au 2.89-3.04, 2 Ag 2.96
Au 0.6815 0.9134 0.3630  3 Mn 2.82-2.92, 8 Au 2.87-3.00, 1 Ag 2.89
Au 0.3995 0.5397 0.7990  3 Mn 2.78-2.87, 7 Au 2.88-3.02, 1 Ag 2.96
Au 0.8550 0.7966 0.7099  3 Mn 2.80-2.82, 7 Au 2.88-3.04, 2 Ag 2.98
Au 0.9551 0.2718 0.9103  1 Mn 2.83, 9 Au 2.89-3.04, 2 Ag 2.96
Au 0.1450 0.2034 0.2901  3 Mn 2.80-2.82, 7 Au 2.88-3.04, 2 Ag 2.98
Au 0.6005 0.4603 0.2010  3 Mn 2.78-2.87, 7 Au 2.88-3.02, 1 Ag 2.96
Au 0.3185 0.0866 0.6370  3 Mn 2.82-2.92, 8 Au 2.87-3.00, 1 Ag 2.89
Ag 0.5000 0.0000 0.0000  12 Au 2.89-2.98

Properties
Density, g cm⁻³: 15.442
Space-group type: C2/m

Of them, <P> has the lowest stability.